Model 1:
Compound: Nd2Er8Mg
Source: Alexandria via LeMat-Bulk
Functional: PBE
Structure: optimized geometry

Lattice parameters (Å, degrees): 9.566 9.566 9.566 146.68 132.98 58.84
Fractional positions:
Nd1 0.196 0.196 0.000
Nd2 0.804 0.804 0.000
Er1 0.088 0.364 0.724
Er2 0.232 0.000 0.232
Er3 0.326 0.826 0.500
Er4 0.360 0.636 0.724
Er5 0.640 0.364 0.276
Er6 0.674 0.174 0.500
Er7 0.768 0.000 0.768
Er8 0.912 0.636 0.276
Mg1 0.500 0.500 0.000

Properties
D(E_F), states/eV per cell: 18.0
M_tot, μB/f.u.: 0.0
SG: Immm, No. 71


Model 2:
Compound: Nd2Er8Mg
Source: Alexandria via LeMat-Bulk
Functional: PBE
Structure: optimized geometry

Lattice parameters (Å, degrees): 8.765 8.765 6.631 100.87 100.87 44.04
Fractional positions:
Nd1 0.186 0.186 0.295
Nd2 0.814 0.814 0.705
Er1 0.179 0.659 0.112
Er2 0.246 0.246 0.815
Er3 0.341 0.821 0.888
Er4 0.407 0.407 0.585
Er5 0.593 0.593 0.415
Er6 0.659 0.179 0.112
Er7 0.754 0.754 0.185
Er8 0.821 0.341 0.888
Mg1 0.000 0.000 0.500

Properties
D(E_F), states/eV per cell: 15.9
M_tot, μB/f.u.: 0.0
SG: C2/m, No. 12


Which one is most stable, and which one is least stable? model 1 is the most stable of them, while model 2 is the least stable.


Model 1:
Compound: Nd3ErMg
Source: Alexandria via LeMat-Bulk
Functional: PBE
Structure: optimized geometry

Lattice parameters (Å, degrees): 3.840 10.670 8.222 90.00 90.00 90.00
Fractional positions:
Nd1 0.250 0.003 0.233
Nd2 0.250 0.497 0.233
Nd3 0.250 0.750 0.556
Nd4 0.750 0.250 0.444
Nd5 0.750 0.503 0.767
Nd6 0.750 0.997 0.767
Er1 0.250 0.750 0.945
Er2 0.750 0.250 0.055
Mg1 0.250 0.250 0.757
Mg2 0.750 0.750 0.243

Properties
D(E_F), states/eV per cell: 16.3
M_tot, μB/f.u.: 0.0
SG: Pmmn, No. 59


Model 2:
Compound: Nd3ErMg
Source: Alexandria via LeMat-Bulk
Functional: PBE
Structure: optimized geometry

Lattice parameters (Å, degrees): 11.506 11.506 8.577 108.06 108.06 17.75
Fractional positions:
Nd1 0.017 0.017 0.224
Nd2 0.176 0.176 0.443
Nd3 0.378 0.378 0.964
Nd4 0.622 0.622 0.036
Nd5 0.824 0.824 0.557
Nd6 0.983 0.983 0.776
Er1 0.265 0.265 0.180
Er2 0.735 0.735 0.820
Mg1 0.424 0.424 0.401
Mg2 0.576 0.576 0.599

Properties
D(E_F), states/eV per cell: 14.7
M_tot, μB/f.u.: 0.0
SG: C2/m, No. 12


Which one is most stable, and which one is least stable? model 2 is the most stable of them, while model 1 is the least stable.


Model 1:
Compound: Nd8Er2Mg
Source: Alexandria via LeMat-Bulk
Functional: PBE
Structure: optimized geometry

Lattice parameters (Å, degrees): 5.503 8.468 8.468 103.70 90.00 90.00
Fractional positions:
Nd1 0.000 0.000 0.000
Nd2 0.000 0.327 0.327
Nd3 0.000 0.411 0.917
Nd4 0.000 0.917 0.411
Nd5 0.500 0.362 0.638
Nd6 0.500 0.638 0.362
Nd7 0.500 0.690 0.966
Nd8 0.500 0.966 0.690
Er1 0.500 0.043 0.284
Er2 0.500 0.284 0.043
Mg1 0.000 0.663 0.663

Properties
D(E_F), states/eV per cell: 17.2
M_tot, μB/f.u.: 0.0
SG: Amm2, No. 38


Model 2:
Compound: Nd8Er2Mg
Source: Alexandria via LeMat-Bulk
Functional: PBE
Structure: optimized geometry

Lattice parameters (Å, degrees): 9.539 9.539 8.085 104.79 104.79 31.15
Fractional positions:
Nd1 0.046 0.046 0.224
Nd2 0.137 0.137 0.684
Nd3 0.318 0.318 0.590
Nd4 0.409 0.409 0.051
Nd5 0.591 0.591 0.949
Nd6 0.682 0.682 0.410
Nd7 0.863 0.863 0.316
Nd8 0.954 0.954 0.776
Er1 0.226 0.226 0.134
Er2 0.774 0.774 0.866
Mg1 0.500 0.500 0.500

Properties
D(E_F), states/eV per cell: 15.4
M_tot, μB/f.u.: 0.0
SG: C2/m, No. 12


Which one is most stable, and which one is least stable? model 2 is the most stable of them, while model 1 is the least stable.


Model 1:
Compound: Nd2Er6Mg
Source: Alexandria via LeMat-Bulk
Functional: PBE
Structure: optimized geometry

Lattice parameters (Å, degrees): 3.539 3.539 26.002 90.00 90.00 120.00
Fractional positions:
Nd1 0.000 0.000 0.173
Nd2 0.000 0.000 0.827
Er1 0.000 0.000 0.396
Er2 0.000 0.000 0.604
Er3 0.667 0.333 0.064
Er4 0.667 0.333 0.289
Er5 0.667 0.333 0.711
Er6 0.667 0.333 0.936
Mg1 0.667 0.333 0.500

Properties
D(E_F), states/eV per cell: 14.8
M_tot, μB/f.u.: 0.0
SG: P-6m2, No. 187


Model 2:
Compound: Nd2Er6Mg
Source: Alexandria via LeMat-Bulk
Functional: PBE
Structure: optimized geometry

Lattice parameters (Å, degrees): 10.526 10.526 5.010 90.00 90.00 90.00
Fractional positions:
Nd1 0.164 0.164 0.000
Nd2 0.336 0.664 0.500
Nd3 0.664 0.336 0.500
Nd4 0.836 0.836 0.000
Er1 0.001 0.665 0.500
Er2 0.165 0.499 0.000
Er3 0.169 0.831 0.000
Er4 0.331 0.331 0.500
Er5 0.335 0.999 0.500
Er6 0.499 0.165 0.000
Er7 0.501 0.835 0.000
Er8 0.665 0.001 0.500
Er9 0.669 0.669 0.500
Er10 0.831 0.169 0.000
Er11 0.835 0.501 0.000
Er12 0.999 0.335 0.500
Mg1 0.000 0.000 0.500
Mg2 0.500 0.500 0.000

Properties
D(E_F), states/eV per cell: 26.1
M_tot, μB/f.u.: 0.0
SG: P4_2/mnm, No. 136


Which one is most stable, and which one is least stable? model 2 is the most stable of them, while model 1 is the least stable.


Model 1:
Compound: PrNdErMg
Source: Alexandria via LeMat-Bulk
Functional: PBE
Structure: optimized geometry

Lattice parameters (Å, degrees): 5.612 5.612 5.612 60.00 60.00 60.00
Fractional positions:
Pr1 0.000 0.000 0.000
Nd1 0.500 0.500 0.500
Er1 0.750 0.750 0.750
Mg1 0.250 0.250 0.250

Properties
D(E_F), states/eV per cell: 4.3
M_tot, μB/f.u.: 0.0
SG: F-43m, No. 216


Model 2:
Compound: PrNdErMg
Source: Alexandria via LeMat-Bulk
Functional: PBE
Structure: optimized geometry

Lattice parameters (Å, degrees): 3.733 3.733 9.045 90.00 90.00 90.00
Fractional positions:
Pr1 0.000 0.000 0.000
Nd1 0.000 0.000 0.464
Er1 0.500 0.500 0.731
Mg1 0.500 0.500 0.234

Properties
D(E_F), states/eV per cell: 5.0
M_tot, μB/f.u.: 0.0
SG: P4mm, No. 99


Which one is most stable, and which one is least stable? model 2 is the most stable of them, while model 1 is the least stable.


Model 1:
Compound: Er4MgNi
Source: Alexandria via LeMat-Bulk
Functional: PBE
Structure: optimized geometry

Lattice parameters (Å, degrees): 4.714 4.714 7.818 90.00 90.00 90.00
Fractional positions:
Er1 0.000 0.500 0.204
Er2 0.000 0.500 0.796
Er3 0.500 0.000 0.204
Er4 0.500 0.000 0.796
Mg1 0.000 0.000 0.500
Ni1 0.500 0.500 0.000

Properties
D(E_F), states/eV per cell: 5.3
M_tot, μB/f.u.: 0.0
SG: P4/mmm, No. 123


Model 2:
Compound: Er4MgNi
Source: Alexandria via LeMat-Bulk
Functional: PBE
Structure: optimized geometry

Lattice parameters (Å, degrees): 9.541 9.541 9.541 60.00 60.00 60.00
Fractional positions:
Er1 0.185 0.185 0.815
Er2 0.185 0.815 0.185
Er3 0.185 0.815 0.815
Er4 0.404 0.404 0.404
Er5 0.404 0.404 0.787
Er6 0.404 0.787 0.404
Er7 0.562 0.562 0.938
Er8 0.562 0.938 0.562
Er9 0.562 0.938 0.938
Er10 0.787 0.404 0.404
Er11 0.815 0.185 0.185
Er12 0.815 0.185 0.815
Er13 0.815 0.815 0.185
Er14 0.938 0.562 0.562
Er15 0.938 0.562 0.938
Er16 0.938 0.938 0.562
Mg1 0.170 0.170 0.170
Mg2 0.170 0.170 0.489
Mg3 0.170 0.489 0.170
Mg4 0.489 0.170 0.170
Ni1 0.175 0.608 0.608
Ni2 0.608 0.175 0.608
Ni3 0.608 0.608 0.175
Ni4 0.608 0.608 0.608

Properties
D(E_F), states/eV per cell: 29.8
M_tot, μB/f.u.: 0.0
SG: F-43m, No. 216


Which one is most stable, and which one is least stable? model 2 is the most stable of them, while model 1 is the least stable.


Model 1:
Compound: ErTmMgNi
Source: Alexandria via LeMat-Bulk
Functional: PBE
Structure: optimized geometry

Lattice parameters (Å, degrees): 3.403 3.403 7.834 90.00 90.00 90.00
Fractional positions:
Er1 0.000 0.000 0.000
Tm1 0.000 0.000 0.596
Mg1 0.500 0.500 0.299
Ni1 0.500 0.500 0.796

Properties
D(E_F), states/eV per cell: 2.3
M_tot, μB/f.u.: 0.0
SG: P4mm, No. 99


Model 2:
Compound: ErTmMgNi
Source: Alexandria via LeMat-Bulk
Functional: PBE
Structure: optimized geometry

Lattice parameters (Å, degrees): 4.989 4.989 4.989 60.00 60.00 60.00
Fractional positions:
Er1 0.000 0.000 0.000
Tm1 0.500 0.500 0.500
Mg1 0.750 0.750 0.750
Ni1 0.250 0.250 0.250

Properties
D(E_F), states/eV per cell: 2.8
M_tot, μB/f.u.: 0.0
SG: F-43m, No. 216


Which one is most stable, and which one is least stable? model 1 is the most stable of them, while model 2 is the least stable.


Model 1:
Compound: Er2MgO
Source: Alexandria via LeMat-Bulk
Functional: PBE
Structure: optimized geometry

Lattice parameters (Å, degrees): 8.269 8.269 8.269 24.18 24.18 24.18
Fractional positions:
Er1 0.222 0.222 0.222
Er2 0.778 0.778 0.778
Mg1 0.000 0.000 0.000
O1 0.500 0.500 0.500

Properties
D(E_F), states/eV per cell: 2.8
M_tot, μB/f.u.: 0.0
SG: R-3m, No. 166


Model 2:
Compound: Er2MgO
Source: Alexandria via LeMat-Bulk
Functional: PBE
Structure: optimized geometry

Lattice parameters (Å, degrees): 3.041 3.041 8.297 90.00 90.00 90.00
Fractional positions:
Er1 0.000 0.000 0.186
Er2 0.000 0.000 0.814
Mg1 0.500 0.500 0.500
O1 0.500 0.500 0.000

Properties
D(E_F), states/eV per cell: 3.0
M_tot, μB/f.u.: 0.0
SG: P4/mmm, No. 123


Which one is most stable, and which one is least stable? model 1 is the most stable of them, while model 2 is the least stable.


Model 1:
Compound: Er4MgZr4O14
Source: Alexandria via LeMat-Bulk
Functional: PBE
Structure: optimized geometry

Lattice parameters (Å, degrees): 3.476 7.759 11.327 90.00 90.00 90.00
Fractional positions:
Er1 0.000 0.000 0.000
Er2 0.000 0.500 0.485
Er3 0.500 0.228 0.725
Er4 0.500 0.772 0.725
Mg1 0.000 0.500 0.150
Zr1 0.000 0.000 0.486
Zr2 0.000 0.500 0.903
Zr3 0.500 0.217 0.251
Zr4 0.500 0.783 0.251
O1 0.000 0.229 0.867
O2 0.000 0.242 0.378
O3 0.000 0.250 0.144
O4 0.000 0.277 0.609
O5 0.000 0.723 0.609
O6 0.000 0.750 0.144
O7 0.000 0.758 0.378
O8 0.000 0.771 0.867
O9 0.500 0.000 0.126
O10 0.500 0.000 0.362
O11 0.500 0.000 0.595
O12 0.500 0.500 0.017
O13 0.500 0.500 0.261
O14 0.500 0.500 0.780

Properties
D(E_F), states/eV per cell: 1.2
M_tot, μB/f.u.: 1.1
SG: Pmm2, No. 25


Model 2:
Compound: Er4MgZr4O14
Source: Alexandria via LeMat-Bulk
Functional: PBE
Structure: optimized geometry

Lattice parameters (Å, degrees): 6.956 4.213 10.888 90.00 90.37 90.00
Fractional positions:
Er1 0.000 0.000 0.000
Er2 0.245 0.500 0.289
Er3 0.500 0.000 0.000
Er4 0.755 0.500 0.711
Mg1 0.500 0.500 0.000
Zr1 0.000 0.000 0.500
Zr2 0.242 0.500 0.737
Zr3 0.500 0.000 0.500
Zr4 0.758 0.500 0.263
O1 0.016 0.500 0.140
O2 0.023 0.500 0.607
O3 0.246 0.000 0.632
O4 0.248 0.000 0.378
O5 0.257 0.000 0.882
O6 0.473 0.500 0.607
O7 0.481 0.500 0.162
O8 0.519 0.500 0.838
O9 0.527 0.500 0.393
O10 0.743 0.000 0.118
O11 0.752 0.000 0.622
O12 0.754 0.000 0.368
O13 0.977 0.500 0.393
O14 0.984 0.500 0.860

Properties
D(E_F), states/eV per cell: 0.9
M_tot, μB/f.u.: 1.0
SG: P2/m, No. 10


Which one is most stable, and which one is least stable? model 1 is the most stable of them, while model 2 is the least stable.


Model 1:
Compound: YErMgOs
Source: Alexandria via LeMat-Bulk
Functional: PBE
Structure: optimized geometry

Lattice parameters (Å, degrees): 4.982 4.982 4.982 60.00 60.00 60.00
Fractional positions:
Y1 0.000 0.000 0.000
Er1 0.500 0.500 0.500
Mg1 0.750 0.750 0.750
Os1 0.250 0.250 0.250

Properties
D(E_F), states/eV per cell: 3.5
M_tot, μB/f.u.: 0.0
SG: F-43m, No. 216


Model 2:
Compound: YErMgOs
Source: Alexandria via LeMat-Bulk
Functional: PBE
Structure: optimized geometry

Lattice parameters (Å, degrees): 3.436 3.436 8.084 90.00 90.00 90.00
Fractional positions:
Y1 0.000 0.000 0.000
Er1 0.000 0.000 0.594
Mg1 0.500 0.500 0.300
Os1 0.500 0.500 0.793

Properties
D(E_F), states/eV per cell: 2.4
M_tot, μB/f.u.: 0.0
SG: P4mm, No. 99


Which one is most stable, and which one is least stable? model 2 is the most stable of them, while model 1 is the least stable.


Model 1:
Compound: Er3Mg2Pb3
Source: Alexandria via LeMat-Bulk
Functional: PBE
Structure: optimized geometry

Lattice parameters (Å, degrees): 8.880 8.880 6.303 90.00 90.00 120.00
Fractional positions:
Er1 0.000 0.241 0.250
Er2 0.000 0.759 0.750
Er3 0.241 0.000 0.250
Er4 0.241 0.241 0.750
Er5 0.759 0.000 0.750
Er6 0.759 0.759 0.250
Mg1 0.333 0.667 0.000
Mg2 0.333 0.667 0.500
Mg3 0.667 0.333 0.000
Mg4 0.667 0.333 0.500
Pb1 0.000 0.399 0.750
Pb2 0.000 0.601 0.250
Pb3 0.399 0.000 0.750
Pb4 0.399 0.399 0.250
Pb5 0.601 0.000 0.250
Pb6 0.601 0.601 0.750

Properties
D(E_F), states/eV per cell: 13.8
M_tot, μB/f.u.: 0.0
SG: P6_3/mcm, No. 193


Model 2:
Compound: Er3Mg2Pb3
Source: Alexandria via LeMat-Bulk
Functional: PBE
Structure: optimized geometry

Lattice parameters (Å, degrees): 10.982 10.982 10.982 157.05 155.56 33.77
Fractional positions:
Er1 0.000 0.000 0.000
Er2 0.375 0.875 0.500
Er3 0.625 0.125 0.500
Mg1 0.251 0.251 0.000
Mg2 0.749 0.749 0.000
Pb1 0.142 0.642 0.500
Pb2 0.500 0.500 0.000
Pb3 0.858 0.358 0.500

Properties
D(E_F), states/eV per cell: 6.1
M_tot, μB/f.u.: 0.0
SG: Immm, No. 71


Which one is most stable, and which one is least stable? model 1 is the most stable of them, while model 2 is the least stable.